No. 1
A plane-wave DFT calculation with PBE-GGA was carried out for BiTe2Br after structural relaxation.

Lattice parameters (Å, degrees): 4.6751 4.6751 26.7432 90.00 90.00 120.00
Space group R-3m (No. 166, hexagonal axes)
Asymmetric unit:
Bi  0.0000  0.0000  0.0000 x3
Te  0.0000  0.0000  0.3960 x6
Br  0.0000  0.0000  0.5000 x3

Offset from the most stable computed form = 0.0000 eV per atom
E_tot = -3.086 eV per atom
Formation energy (no corrections) = -0.13 eV per atom

No. 2
A plane-wave DFT calculation with PBE-GGA was carried out for Bi2TeBr2 after structural relaxation.

Lattice parameters (Å, degrees): 14.191 6.410 8.887 90.00 99.09 90.00
Space group C2/m (No. 12)
Asymmetric unit:
Bi  0.027  0.000  0.173 x4
Bi  0.169  0.500  0.592 x4
Te  0.216  0.000  0.109 x4
Br  0.006  0.500  0.757 x4
Br  0.164  0.000  0.569 x4

Offset from the most stable computed form = 0.0000 eV per atom
E_tot = -3.140 eV per atom
Formation energy (no corrections) = -0.29 eV per atom

No. 3
A plane-wave DFT calculation with PBE-GGA was carried out for BiTeBr2 after structural relaxation.

Lattice parameters (Å, degrees): 10.009 7.656 4.050 90.00 102.84 90.00
Space group C2 (No. 5)
Asymmetric unit:
Bi  0.000  0.000  0.000 x2
Te  0.000  0.292  0.500 x2
Br  0.206  0.846  0.639 x4

Offset from the most stable computed form = 0.0000 eV per atom
E_tot = -2.866 eV per atom
Formation energy (no corrections) = -0.27 eV per atom

No. 4
A plane-wave DFT calculation with PBE-GGA was carried out for BiTe2Br after structural relaxation.

Lattice parameters (Å, degrees): 7.735 7.735 7.735 90.00 90.00 90.00
Space group Fm-3m (No. 225)
Asymmetric unit:
Bi  0.000  0.000  0.000 x4
Te  0.250  0.250  0.250 x8
Br  0.000  0.000  0.500 x4

Offset from the most stable computed form = 0.2560 eV per atom
E_tot = -2.830 eV per atom
Formation energy (no corrections) = 0.13 eV per atom

No. 5
A plane-wave DFT calculation with PBE-GGA was carried out for Bi2TeBr after structural relaxation.

Lattice parameters (Å, degrees): 7.780 7.780 7.780 90.00 90.00 90.00
Space group Fm-3m (No. 225)
Asymmetric unit:
Bi  0.250  0.250  0.250 x8
Te  0.000  0.000  0.000 x4
Br  0.000  0.000  0.500 x4

E_tot = -3.118 eV per atom
Formation energy (no corrections) = 0.03 eV per atom

No. 6
A plane-wave DFT calculation with PBE-GGA was carried out for Bi4Te4Br3 after structural relaxation.

Lattice parameters (Å, degrees): 4.040 9.469 18.834 90.00 90.00 90.00
Space group Immm (No. 71)
Asymmetric unit:
Bi  0.000  0.000  0.228 x4
Bi  0.000  0.231  0.500 x4
Te  0.000  0.291  0.337 x8
Br  0.000  0.000  0.000 x2
Br  0.000  0.500  0.089 x4

E_tot = -3.157 eV per atom
Formation energy (no corrections) = -0.15 eV per atom

No. 7
A plane-wave DFT calculation with PBE-GGA was carried out for Bi3Te2Br2 after structural relaxation.

Lattice parameters (Å, degrees): 6.805 13.359 6.249 90.00 97.66 90.00
Space group P2_1/c (No. 14)
Asymmetric unit:
Bi  0.000  0.000  0.000 x2
Bi  0.344  0.006  0.689 x4
Te  0.381  0.644  0.563 x4
Br  0.129  0.147  0.332 x4

E_tot = -3.315 eV per atom
Formation energy (no corrections) = -0.28 eV per atom

No. 8
A plane-wave DFT calculation with PBE-GGA was carried out for BiTe2Br after structural relaxation.

Lattice parameters (Å, degrees): 8.214 8.214 8.726 90.00 90.00 90.00
Space group I-42d (No. 122)
Asymmetric unit:
Bi  0.000  0.000  0.000 x4
Te  0.231  0.750  0.125 x8
Br  0.000  0.000  0.500 x4

Offset from the most stable computed form = 0.2240 eV per atom
E_tot = -2.862 eV per atom
Formation energy (no corrections) = 0.10 eV per atom

No. 9
A plane-wave DFT calculation with PBE-GGA was carried out for BiTeBr after structural relaxation.

Lattice parameters (Å, degrees): 7.522 4.345 16.001 90.00 102.56 90.00
Space group Cm (No. 8)
Asymmetric unit:
Bi  0.000  0.000  0.000 x2
Bi  0.242  0.000  0.517 x2
Te  0.023  0.500  0.405 x2
Te  0.385  0.000  0.112 x2
Br  0.113  0.500  0.884 x2
Br  0.462  0.500  0.633 x2

E_tot = -3.388 eV per atom
Formation energy (no corrections) = -0.49 eV per atom

No. 10
A plane-wave DFT calculation with PBE-GGA was carried out for BiTeBr after structural relaxation.

Lattice parameters (Å, degrees): 4.3413 4.3413 7.1698 90.00 90.00 120.00
Space group P3m1 (No. 156)
Asymmetric unit:
Bi  0.0000  0.0000  0.0000 x1
Te  0.3333  0.6667  0.2438 x1
Br  0.6667  0.3333  0.7420 x1

E_tot = -3.394 eV per atom
Formation energy (no corrections) = -0.50 eV per atom

No. 11
A plane-wave DFT calculation with PBE-GGA was carried out for Bi2TeBr3 after structural relaxation.

Lattice parameters (Å, degrees): 18.092 4.763 13.727 90.00 123.98 90.00
Space group C2/m (No. 12)
Asymmetric unit:
Bi  0.118  0.000  0.364 x4
Bi  0.119  0.500  0.872 x4
Te  0.069  0.000  0.706 x4
Br  0.072  0.500  0.198 x4
Br  0.162  0.500  0.518 x4
Br  0.207  0.000  0.078 x4

E_tot = -3.107 eV per atom
Formation energy (no corrections) = -0.45 eV per atom

No. 12
A plane-wave DFT calculation with PBE-GGA was carried out for Bi2TeBr after structural relaxation.

Lattice parameters (Å, degrees): 8.556 8.556 7.285 90.00 90.00 90.00
Space group I-42d (No. 122)
Asymmetric unit:
Bi  0.242  0.250  0.125 x8
Te  0.000  0.000  0.000 x4
Br  0.000  0.000  0.500 x4

E_tot = -3.188 eV per atom
Formation energy (no corrections) = -0.04 eV per atom